Record 1
Cs2Sb2W | PBE | relaxed

Results
Space group: No. 63

Unit cell a=9.4672 b=9.4672 c=5.5345 alpha=90.00 beta=90.00 gamma=124.91
With the nearest neighbours (Å) after each atom.
Sites, in units of the cell vectors:
1 Sb 0.1237 0.3010 0.2500  2 W 2.75
2 Sb 0.3010 0.1237 0.7500  2 W 2.75
3 Cs 0.2178 0.7822 0.2500  2 W 3.91, 6 Sb 3.98-4.11, 2 Cs 4.20
4 Cs 0.5938 0.4062 0.2500  6 Sb 3.74-3.97
5 Cs 0.7822 0.2178 0.7500  2 W 3.91, 6 Sb 3.98-4.11, 2 Cs 4.20
6 W 0.0000 0.0000 0.0000  4 Sb 2.75, 2 W 2.77
7 Sb 0.8763 0.6990 0.7500  2 W 2.75
8 Cs 0.4062 0.5938 0.7500  6 Sb 3.74-3.97
9 Sb 0.6990 0.8763 0.2500  2 W 2.75
10 W 0.0000 0.0000 0.5000  4 Sb 2.75, 2 W 2.77

Record 2
ErAsAuO | PBE | relaxed

Results
Space group: No. 26
Polymorph energy (0 for the lowest one): 0.361 eV/atom

Unit cell a=3.7933 b=7.5040 c=6.0658 alpha=90.00 beta=90.00 gamma=90.00
With the nearest neighbours (Å) after each atom.
Sites, in units of the cell vectors:
1 Er 0.0000 0.2790 0.9151  2 O 2.09
2 Er 0.0000 0.7210 0.4151  2 O 2.09
3 As 0.0000 0.6619 0.9203  2 Au 2.48
4 As 0.0000 0.3381 0.4203  2 Au 2.48
5 Au 0.5000 0.1288 0.4622  1 O 2.23, 2 As 2.48
6 O 0.5000 0.8318 0.4564  2 Er 2.09, 1 Au 2.23
7 O 0.5000 0.1682 0.9564  2 Er 2.09, 1 Au 2.23
8 Au 0.5000 0.8712 0.9622  1 O 2.23, 2 As 2.48

Record 3
CsScZnTe3 | PBE | relaxed

Results
Space group: No. 12

Unit cell a=10.0684 b=10.0684 c=9.7013 alpha=98.90 beta=98.90 gamma=25.09
With the nearest neighbours (Å) after each atom.
Sites, in units of the cell vectors:
1 Te 0.6777 0.6777 0.8639  3 Sc 2.90-2.91
2 Zn 0.5240 0.5240 0.2189  2 Te 2.65-2.84
3 Te 0.6604 0.6604 0.2542  1 Zn 2.65, 2 Sc 2.92
4 Te 0.5000 0.5000 0.5000  2 Zn 2.84
5 Zn 0.4760 0.4760 0.7811  2 Te 2.65-2.84
6 Cs 0.8484 0.8484 0.4423  7 Te 3.66-3.85
7 Te 0.3396 0.3396 0.7458  1 Zn 2.65, 2 Sc 2.92
8 Sc 0.8266 0.8266 0.9396  5 Te 2.90-2.92
9 Cs 0.1516 0.1516 0.5577  7 Te 3.66-3.85
10 Te 0.0000 0.0000 0.0000  4 Zn 3.03, 2 Sc 3.37
11 Sc 0.1734 0.1734 0.0604  5 Te 2.90-2.92
12 Te 0.3223 0.3223 0.1361  3 Sc 2.90-2.91

Record 4
NaFeSbPb | PBE | relaxed

Results
Space group: No. 216
Polymorph energy (0 for the lowest one): 0.218 eV/atom

Unit cell a=5.2057 b=5.2057 c=5.2057 alpha=60.00 beta=60.00 gamma=60.00
With the nearest neighbours (Å) after each atom.
Sites, in units of the cell vectors:
1 Na 0.7500 0.7500 0.7500  4 Fe 3.19, 4 Sb 3.19
2 Sb 0.0000 0.0000 0.0000  4 Pb 3.19, 4 Na 3.19
3 Pb 0.2500 0.2500 0.2500  4 Fe 3.19, 4 Sb 3.19
4 Fe 0.5000 0.5000 0.5000  4 Pb 3.19, 4 Na 3.19

Record 5
CsAg3Te4Pd | PBE | relaxed

Results
Space group: No. 215

Unit cell a=6.9219 b=6.9219 c=6.9219 alpha=90.00 beta=90.00 gamma=90.00
With the nearest neighbours (Å) after each atom.
Sites, in units of the cell vectors:
1 Te 0.2846 0.7154 0.7154  1 Pd 2.58, 3 Ag 2.89
2 Cs 0.0000 0.0000 0.0000  4 Te 3.41
3 Te 0.7154 0.2846 0.7154  1 Pd 2.58, 3 Ag 2.89
4 Ag 0.0000 0.5000 0.5000  4 Te 2.89
5 Ag 0.5000 0.5000 0.0000  4 Te 2.89
6 Pd 0.5000 0.5000 0.5000  4 Te 2.58
7 Te 0.2846 0.2846 0.2846  1 Pd 2.58, 3 Ag 2.89
8 Ag 0.5000 0.0000 0.5000  4 Te 2.89
9 Te 0.7154 0.7154 0.2846  1 Pd 2.58, 3 Ag 2.89

Record 6
UAlNi | PBE | relaxed

Results
Space group: No. 189

Unit cell a=6.1569 b=6.1569 c=4.5708 alpha=90.00 beta=90.00 gamma=120.00
With the nearest neighbours (Å) after each atom.
Sites, in units of the cell vectors:
1 Ni 0.2299 0.0000 0.0000  4 Al 2.43-2.69, 2 Ni 2.45
2 Al 0.6667 0.3333 0.0000  3 Ni 2.43
3 Al 0.3333 0.6667 0.0000  3 Ni 2.43
4 U 0.0000 0.5131 0.5000  2 Ni 2.87, 6 Al 2.90-3.16, 4 U 3.08
5 Al 0.0000 0.0000 0.5000  6 Ni 2.69, 3 U 3.00
6 Ni 0.0000 0.2299 0.0000  4 Al 2.43-2.69, 2 Ni 2.45
7 U 0.5131 0.0000 0.5000  2 Ni 2.87, 6 Al 2.90-3.16, 4 U 3.08
8 U 0.4869 0.4869 0.5000  2 Ni 2.87, 6 Al 2.90-3.16, 4 U 3.08
9 Ni 0.7701 0.7701 0.0000  4 Al 2.43-2.69, 2 Ni 2.45

no.,V (Å³/atom),energy (eV per atom)
1,40.68,-4.483
2,21.58,-5.600
3,34.32,-3.788
4,24.94,-3.872
5,36.85,-3.119
6,16.67,-6.965